No. 1
Material: SrPtAu2
Method: DFT, GGA-PBE
State: relaxed

Cell lengths 3.5909, 3.5909, 6.7923 Å; angles 90.00, 90.00, 89.99 degrees
With the nearest neighbours (Å) after each atom.
Fractional coordinates of all 4 atoms:
Pt (0.0000, 0.0000, 0.4538)  5 Au 2.82-2.84
Au (0.0000, 0.0000, 0.0387)  1 Pt 2.82, 4 Au 2.97
Au (0.5000, 0.5000, 0.2661)  4 Pt 2.84, 4 Au 2.97
Sr (0.5000, 0.5000, 0.7414)  4 Pt 3.20, 6 Au 3.23-3.56

Properties
DOS at the Fermi energy: 1.66 states/eV/f.u.
DFT total energy: -15.439 eV per cell
ΔE_f: -1.16 eV/f.u.
space group: P4mm, No. 99
mass density: 12.829 g cm⁻³

No. 2
Material: SrPt2Au
Method: DFT, GGA-PBE
State: relaxed

Cell lengths 4.5390, 4.2848, 5.2286 Å; angles 91.33, 90.00, 90.00 degrees
With the nearest neighbours (Å) after each atom.
Fractional coordinates of all 4 atoms:
Sr (0.0000, 0.5010, 0.4780)  7 Pt 3.19-3.50, 4 Au 3.41-3.43
Pt (0.5000, 0.9916, 0.2542)  2 Au 2.57-2.66, 2 Pt 2.58
Pt (0.0000, 0.9956, 0.0211)  2 Pt 2.58, 2 Au 2.69
Au (0.5000, 0.0118, 0.7467)  4 Pt 2.57-2.69

Properties
DOS at the Fermi energy: 1.36 states/eV/f.u.
DFT total energy: -18.705 eV per cell
ΔE_f: -1.66 eV/f.u.
space group: Pm, No. 6
mass density: 11.022 g cm⁻³

Question: The highest DFT total energy belongs to which entry?
Answer: SrPtAu2